1.
VASP calculation (PBE) on CaReOs2 after structural relaxation.

Cell: 6.3761 6.3761 6.3761 Å, 90.00 90.00 90.00°
Sites, in units of the cell vectors:
Ca (0.0000, 0.0000, 0.0000)
Ca (0.0000, 0.5000, 0.5000)
Ca (0.5000, 0.0000, 0.5000)
Ca (0.5000, 0.5000, 0.0000)
Re (0.0000, 0.0000, 0.5000)
Re (0.0000, 0.5000, 0.0000)
Re (0.5000, 0.0000, 0.0000)
Re (0.5000, 0.5000, 0.5000)
Os (0.2500, 0.2500, 0.2500)
Os (0.2500, 0.2500, 0.7500)
Os (0.2500, 0.7500, 0.2500)
Os (0.2500, 0.7500, 0.7500)
Os (0.7500, 0.2500, 0.2500)
Os (0.7500, 0.2500, 0.7500)
Os (0.7500, 0.7500, 0.2500)
Os (0.7500, 0.7500, 0.7500)

Results
mass density: 15.55 g/cm³
M_tot: 0.000 μB per cell
E_form: 0.620 eV/atom
DOS(E_F): 1.3577 states/eV/atom
offset from the most stable computed form: 92 kJ/mol of formula units

---

2.
VASP calculation (PBE) on Ca2ReOs after structural relaxation.

Cell: 6.7332 6.7332 6.7332 Å, 90.00 90.00 90.00°
Sites, in units of the cell vectors:
Ca (0.0000, 0.0000, 0.0000)
Ca (0.0000, 0.5000, 0.5000)
Ca (0.2500, 0.2500, 0.2500)
Ca (0.2500, 0.7500, 0.7500)
Ca (0.5000, 0.0000, 0.5000)
Ca (0.5000, 0.5000, 0.0000)
Ca (0.7500, 0.2500, 0.7500)
Ca (0.7500, 0.7500, 0.2500)
Re (0.0000, 0.0000, 0.5000)
Re (0.0000, 0.5000, 0.0000)
Re (0.5000, 0.0000, 0.0000)
Re (0.5000, 0.5000, 0.5000)
Os (0.2500, 0.2500, 0.7500)
Os (0.2500, 0.7500, 0.2500)
Os (0.7500, 0.2500, 0.2500)
Os (0.7500, 0.7500, 0.7500)

Results
mass density: 9.94 g/cm³
M_tot: 0.004 μB per cell
E_form: 0.699 eV/atom
DOS(E_F): 1.0590 states/eV/atom
offset from the most stable computed form: 212 kJ/mol of formula units

---

3.
VASP calculation (PBE) on Ca2ReOs after structural relaxation.

Cell: 3.1614 3.1614 9.2847 Å, 90.00 90.00 90.00°
Sites, in units of the cell vectors:
Ca (0.0000, 0.0000, 0.0000)
Ca (0.5000, 0.5000, 0.3847)
Re (0.5000, 0.5000, 0.7584)
Os (0.0000, 0.0000, 0.6208)

Results
mass density: 8.17 g/cm³
M_tot: 0.000 μB per cell
E_form: 0.293 eV/atom
DOS(E_F): 1.1408 states/eV/atom
offset from the most stable computed form: 56 kJ/mol of formula units

---

4.
VASP calculation (PBE) on CaRe2Os after structural relaxation.

Cell: 2.8100 3.7535 6.9079 Å, 90.00 90.00 90.00°
Sites, in units of the cell vectors:
Ca (0.0000, 0.0000, 0.0000)
Re (0.0000, 0.0000, 0.4898)
Re (0.5000, 0.5000, 0.6858)
Os (0.5000, 0.5000, 0.3059)

Results
mass density: 13.74 g/cm³
M_tot: 0.000 μB per cell
E_form: 0.531 eV/atom
DOS(E_F): 0.7774 states/eV/atom
offset from the most stable computed form: 34 kJ/mol of formula units

---

5.
VASP calculation (PBE) on CaRe2Os after structural relaxation.

Cell: 2.8350 2.8350 8.5870 Å, 90.00 90.00 90.00°
Sites, in units of the cell vectors:
Ca (0.0000, 0.0000, 0.0000)
Re (0.0000, 0.0000, 0.4792)
Re (0.5000, 0.5000, 0.7055)
Os (0.5000, 0.5000, 0.2803)

Results
mass density: 14.50 g/cm³
M_tot: 0.000 μB per cell
E_form: 0.443 eV/atom
DOS(E_F): 1.1609 states/eV/atom
offset from the most stable computed form: 0 kJ/mol of formula units

---

6.
VASP calculation (PBE) on CaReOs2 after structural relaxation.

Cell: 3.0302 4.6293 9.3546 Å, 90.00 90.00 90.00°
Sites, in units of the cell vectors:
Ca (0.0000, 0.0000, 0.0000)
Ca (0.5000, 0.5000, 0.0000)
Re (0.0000, 0.0000, 0.5000)
Re (0.5000, 0.5000, 0.5000)
Os (0.0000, 0.5000, 0.2677)
Os (0.0000, 0.5000, 0.7323)
Os (0.5000, 0.0000, 0.2677)
Os (0.5000, 0.0000, 0.7323)

Results
mass density: 15.36 g/cm³
M_tot: 0.000 μB per cell
E_form: 0.677 eV/atom
DOS(E_F): 0.9934 states/eV/atom
offset from the most stable computed form: 113 kJ/mol of formula units

---

7.
VASP calculation (PBE) on CaReOs2 after structural relaxation.

Cell: 10.9360 2.8346 4.8185 Å, 90.00 116.00 90.00°
Sites, in units of the cell vectors:
Ca (0.0000, 0.0000, 0.0000)
Ca (0.5000, 0.5000, 0.0000)
Re (0.2147, 0.0000, 0.7912)
Re (0.7147, 0.5000, 0.7912)
Os (0.2746, 0.5000, 0.3789)
Os (0.4935, 0.0000, 0.4781)
Os (0.7746, 0.0000, 0.3789)
Os (0.9935, 0.5000, 0.4781)

Results
mass density: 15.01 g/cm³
M_tot: 0.000 μB per cell
E_form: 0.463 eV/atom
DOS(E_F): 0.6200 states/eV/atom
offset from the most stable computed form: 31 kJ/mol of formula units

---

8.
VASP calculation (PBE) on CaRe2Os after structural relaxation.

Cell: 9.7923 2.8526 5.3059 Å, 90.00 104.02 90.00°
Sites, in units of the cell vectors:
Ca (0.0000, 0.0000, 0.0000)
Ca (0.5000, 0.5000, 0.0000)
Re (0.0051, 0.5000, 0.5048)
Re (0.2816, 0.5000, 0.3197)
Re (0.5051, 0.0000, 0.5048)
Re (0.7816, 0.0000, 0.3197)
Os (0.2272, 0.0000, 0.6960)
Os (0.7272, 0.5000, 0.6960)

Results
mass density: 13.92 g/cm³
M_tot: 0.000 μB per cell
E_form: 0.571 eV/atom
DOS(E_F): 0.9885 states/eV/atom
offset from the most stable computed form: 50 kJ/mol of formula units

---

9.
VASP calculation (PBE) on CaReOs2 after structural relaxation.

Cell: 3.9686 3.9686 8.3774 Å, 90.00 90.00 90.00°
Sites, in units of the cell vectors:
Ca (0.0000, 0.0000, 0.0000)
Ca (0.5000, 0.5000, 0.5000)
Re (0.0000, 0.5000, 0.2500)
Re (0.5000, 0.0000, 0.7500)
Os (0.0000, 0.0000, 0.5000)
Os (0.0000, 0.5000, 0.7500)
Os (0.5000, 0.0000, 0.2500)
Os (0.5000, 0.5000, 0.0000)

Results
mass density: 15.27 g/cm³
M_tot: 1.050 μB per cell
E_form: 0.883 eV/atom
DOS(E_F): 1.6531 states/eV/atom
offset from the most stable computed form: 193 kJ/mol of formula units

---

10.
VASP calculation (PBE) on Ca2ReOs after structural relaxation.

Cell: 10.8044 3.4620 4.4264 Å, 90.00 114.07 90.00°
Sites, in units of the cell vectors:
Ca (0.2409, 0.0000, 0.2409)
Ca (0.2591, 0.5000, 0.7591)
Ca (0.7409, 0.5000, 0.2409)
Ca (0.7591, 0.0000, 0.7591)
Re (0.0000, 0.0000, 0.5000)
Re (0.5000, 0.5000, 0.5000)
Os (0.0000, 0.5000, 0.0000)
Os (0.5000, 0.0000, 0.0000)

Results
mass density: 10.03 g/cm³
M_tot: 0.000 μB per cell
E_form: 0.787 eV/atom
DOS(E_F): 1.0858 states/eV/atom
offset from the most stable computed form: 246 kJ/mol of formula units

---

11.
VASP calculation (PBE) on CaRe2Os after structural relaxation.

Cell: 3.0796 4.5275 4.7064 Å, 90.00 90.00 90.00°
Sites, in units of the cell vectors:
Ca (0.0000, 0.0000, 0.0000)
Re (0.0000, 0.5000, 0.5000)
Re (0.5000, 0.0000, 0.5000)
Os (0.5000, 0.5000, 0.0000)

Results
mass density: 15.25 g/cm³
M_tot: 0.000 μB per cell
E_form: 0.693 eV/atom
DOS(E_F): 0.7331 states/eV/atom
offset from the most stable computed form: 96 kJ/mol of formula units

---

12.
VASP calculation (PBE) on CaReOs2 after structural relaxation.

Cell: 2.9332 4.6393 4.7828 Å, 90.00 90.00 90.00°
Sites, in units of the cell vectors:
Ca (0.0000, 0.0000, 0.0000)
Re (0.5000, 0.0000, 0.5000)
Os (0.0000, 0.5000, 0.5000)
Os (0.5000, 0.5000, 0.0000)

Results
mass density: 15.48 g/cm³
M_tot: 0.000 μB per cell
E_form: 0.806 eV/atom
DOS(E_F): 1.0637 states/eV/atom
offset from the most stable computed form: 163 kJ/mol of formula units

---

13.
VASP calculation (PBE) on CaRe2Os after structural relaxation.

Cell: 2.8228 4.2062 6.1295 Å, 90.00 101.98 90.00°
Sites, in units of the cell vectors:
Ca (0.0000, 0.0000, 0.0000)
Re (0.1163, 0.0000, 0.4954)
Re (0.4020, 0.5000, 0.7124)
Os (0.6231, 0.5000, 0.3148)

Results
mass density: 14.06 g/cm³
M_tot: 0.000 μB per cell
E_form: 0.587 eV/atom
DOS(E_F): 0.8272 states/eV/atom
offset from the most stable computed form: 56 kJ/mol of formula units

---

14.
VASP calculation (PBE) on CaRe2Os after structural relaxation.

Cell: 6.3795 6.3795 6.3795 Å, 90.00 90.00 90.00°
Sites, in units of the cell vectors:
Ca (0.0000, 0.0000, 0.0000)
Ca (0.0000, 0.5000, 0.5000)
Ca (0.5000, 0.0000, 0.5000)
Ca (0.5000, 0.5000, 0.0000)
Re (0.0000, 0.0000, 0.5000)
Re (0.0000, 0.5000, 0.0000)
Re (0.2500, 0.2500, 0.2500)
Re (0.2500, 0.7500, 0.7500)
Re (0.5000, 0.0000, 0.0000)
Re (0.5000, 0.5000, 0.5000)
Re (0.7500, 0.2500, 0.7500)
Re (0.7500, 0.7500, 0.2500)
Os (0.2500, 0.2500, 0.7500)
Os (0.2500, 0.7500, 0.2500)
Os (0.7500, 0.2500, 0.2500)
Os (0.7500, 0.7500, 0.7500)

Results
mass density: 15.42 g/cm³
M_tot: 0.000 μB per cell
E_form: 0.578 eV/atom
DOS(E_F): 0.2785 states/eV/atom
offset from the most stable computed form: 52 kJ/mol of formula units

---

15.
VASP calculation (PBE) on Ca2ReOs after structural relaxation.

Cell: 4.1768 4.1768 22.5998 Å, 90.00 90.00 120.00°
Sites, in units of the cell vectors:
Ca (0.0000, 0.0000, 0.0000)
Ca (0.0000, 0.0000, 0.1833)
Ca (0.3333, 0.6667, 0.6667)
Ca (0.3333, 0.6667, 0.8500)
Ca (0.6667, 0.3333, 0.3333)
Ca (0.6667, 0.3333, 0.5167)
Re (0.0000, 0.0000, 0.7665)
Re (0.3333, 0.6667, 0.4332)
Re (0.6667, 0.3333, 0.0998)
Os (0.0000, 0.0000, 0.4158)
Os (0.3333, 0.6667, 0.0825)
Os (0.6667, 0.3333, 0.7491)

Results
mass density: 6.66 g/cm³
M_tot: 0.000 μB per cell
E_form: 0.149 eV/atom
DOS(E_F): 0.8408 states/eV/atom
offset from the most stable computed form: 0 kJ/mol of formula units